Entry 1:
This record from the Alexandria database describes crystalline Ac5CoHg2O at its relaxed geometry. The functional is PBE with a Hubbard U.

```
Ac5CoHg2O
1.0
-3.5683 1.1765 1.8887
5.2272 -3.7923 7.5567
5.6810 13.0360 2.6125
Co Ac Hg O
2 10 4 2
Direct
0.7972 0.5943 0.5209
0.2028 0.4057 0.0209
0.6532 0.3065 0.5117
0.3468 0.6935 0.0117
0.4969 0.9937 0.7830
0.0460 0.0919 0.0148
0.7069 0.4138 0.1568
0.2931 0.5862 0.6568
0.6880 0.3761 0.8858
0.3120 0.6239 0.3858
0.9540 0.9081 0.5148
0.5031 0.0063 0.2830
0.1164 0.2327 0.6942
0.1342 0.2684 0.3262
0.8836 0.7673 0.1942
0.8658 0.7316 0.8262
0.4465 0.8929 0.4306
0.5535 0.1071 0.9306
```

Summary:
Theoretical density ... 9.06 Mg/m³
Fermi-level density of states ... 13.6 states/eV per cell
Volume ... 295.35 Å³/f.u.
Energy ... -4.185 eV/atom

***

Entry 2:
This record from the Alexandria database describes crystalline AcCoHg2O4 at its relaxed geometry. The functional is PBE with a Hubbard U.

```
AcCoHg2O4
1.0
-0.3926 -0.6473 -6.2198
-4.0432 -2.7739 -2.6121
-2.7124 3.5055 -3.3496
Hg O Ac Co
2 4 1 1
Direct
0.0000 0.2343 0.7657
0.0000 0.7657 0.2343
0.1509 0.8532 0.4740
0.4781 0.1468 0.5260
0.8491 0.5260 0.1468
0.5219 0.4740 0.8532
0.5000 0.0000 0.0000
0.5000 0.5000 0.5000
```

Summary:
Theoretical density ... 9.46 Mg/m³
Fermi-level density of states ... 1.3 states/eV per cell
Volume ... 131.89 Å³/f.u.
Energy ... -4.898 eV/atom

***

Q: What is the Fermi-level density of states in the second record?
A: 1.3 states/eV per cell

***

Q: The lowest volume belongs to which entry?
A: AcCoHg2O4

***

Q: Look up the energy of the first one.
A: -4.185 eV/atom

***

Q: The lowest volume belongs to which entry?
A: AcCoHg2O4